A relaxed Pr12Nd6Dy crystal. Source: the Alexandria database, functional PBE-GGA.

a b c (Å): 16.6567 16.6567 8.6848
angles (deg): 90.00 90.00 120.00
Last column: nearest neighbours and their distance in Å.
Space group R-3m (No. 166, hexagonal axes)
Symmetry-distinct sites (fractional):
Pr (0.0000, 0.3799, 0.0000) (multiplicity 18)  4 Pr 3.19-3.24, 2 Nd 3.52
Pr (0.0937, 0.5468, 0.3187) (multiplicity 18)  2 Pr 3.24, 2 Nd 3.54
Nd (0.0835, 0.1669, 0.1461) (multiplicity 18)  2 Nd 3.50, 4 Pr 3.52-3.54, 1 Dy 3.90
Dy (0.0000, 0.0000, 0.5000) (multiplicity 3)  6 Pr 3.70, 6 Nd 3.90

Output
Distance to the lowest polymorph of the same formula   0.169 eV/atom
DFT total energy   -4.476 eV per atom
V   36.6 A^3/atom
DFT formation energy   0.290 eV/atom